[1]
Entry from Alexandria via LeMat-Bulk: a relaxed NiGe2H crystal (PBE).

Energy above the most stable polymorph in this dataset (eV/atom): 0.000
Calculated total energy (eV per atom): -4.45
Spin magnetization (μB/cell): 0.00
N(E_F) (states/eV/cell): 1.58

Cell: 3.1720 3.1720 7.0068 Å, 76.92 76.92 60.00°
Positions (direct):
Ge 0.9110 0.9110 0.2669
H 0.0000 0.0000 0.0000
Ni 0.5000 0.5000 0.5000
Ge 0.0890 0.0890 0.7331

[2]
Entry from Alexandria via LeMat-Bulk: a relaxed UAgSe crystal (PBE).

Formation energy without anion corrections (meV/atom): -379
Calculated total energy (eV per atom): -6.25
Spin magnetization (μB/cell): 0.00
N(E_F) (states/eV/cell): 6.29

Cell: 3.6150 3.6308 13.3837 Å, 114.16 117.21 59.83°
Positions (direct):
Se 0.8549 0.6080 0.4586
U 0.0555 0.5287 0.1410
U 0.3229 0.1232 0.2922
Se 0.5238 0.0437 0.9746
Ag 0.6305 0.2295 0.7998
Ag 0.7503 0.4194 0.6334

Q: What is the calculated total energy in the second record?
A: -6.25 eV per atom

Q: Which value of spin magnetization does entry 2 give?
A: 0.00 μB/cell